(1)
CsLiLa2Br8 (GGA-PBE, optimized geometry); uncorrected formation energy = -22.00 eV per formula unit; calculated density = 3.53 Mg/m³
1.0
7.307 0.000 0.000
0.000 9.329 0.000
-1.094 0.000 7.287
Cs Li La Br
1 1 2 8
Cartesian
0.000 0.000 0.000
0.000 4.664 0.000
3.106 2.436 3.644
3.106 6.893 3.644
1.593 2.793 1.201
1.593 6.536 1.201
1.410 4.664 4.685
1.483 0.000 4.527
4.730 0.000 2.760
4.803 4.664 2.602
4.620 2.793 6.086
4.620 6.536 6.086

---

(2)
AlPIr (GGA-PBE, optimized geometry); calculated formation energy = -202 meV/atom; calculated density = 9.61 Mg/m³
1.0
-1.598 1.786 3.789
1.598 -1.786 3.789
1.598 1.786 -3.789
Al P Ir
1 1 1
Cartesian
0.000 0.000 0.000
0.000 0.000 2.523
0.000 0.000 4.919

---

(3)
NaMo2Pd (GGA-PBE, optimized geometry); calculated formation energy = 1079 meV/atom; energy above the most stable polymorph in this dataset = 0.015 eV per atom; calculated density = 7.31 Mg/m³
1.0
-3.813 3.813 2.509
3.813 -3.813 2.509
3.813 3.813 -2.509
Na Mo Pd
2 4 2
Cartesian
0.000 0.000 0.000
0.000 3.813 1.254
1.906 -1.644 1.882
2.169 1.906 0.627
1.906 5.457 -0.627
1.644 1.906 3.136
3.813 0.000 1.254
0.000 0.000 2.509

---

(4)
MgCuTe2 (GGA-PBE, optimized geometry); energy above the most stable polymorph in this dataset = 0.229 eV per atom; uncorrected formation energy = -0.47 eV per formula unit; calculated density = 5.78 Mg/m³
1.0
4.287 0.000 0.000
0.000 3.949 0.000
-1.485 0.000 5.826
Mg Cu Te
1 1 2
Cartesian
0.000 0.000 0.000
1.401 0.000 2.913
0.090 1.975 4.284
2.712 1.975 1.541

---

no.,DOS(E_F) (states/eV/f.u.)
1,0.00
2,1.01
3,5.12
4,1.13